Record 1
# BaPm2PrTl4

A relaxed BaPm2PrTl4 crystal (PBE-GGA, Alexandria).

Cell lengths 5.6418, 5.6418, 27.7932 Å; angles 90.00, 90.00, 120.00 degrees
Space group R-3m (No. 166, hexagonal axes)
Symmetry-distinct sites (fractional):
Ba1 0.0000 0.0000 0.0000 (multiplicity 3)
Pm1 0.0000 0.0000 0.2509 (multiplicity 6)
Pr1 0.0000 0.0000 0.5000 (multiplicity 3)
Tl1 0.0000 0.0000 0.1285 (multiplicity 6)
Tl2 0.0000 0.0000 0.3805 (multiplicity 6)

***

Record 2
# BaPmPt4

A relaxed BaPmPt4 crystal (PBE-GGA, Alexandria).

Cell lengths 7.920, 7.920, 7.920 Å; angles 90.00, 90.00, 90.00 degrees
Space group F-43m (No. 216)
Symmetry-distinct sites (fractional):
Ba1 0.000 0.000 0.000 (multiplicity 4)
Pm1 0.250 0.250 0.250 (multiplicity 4)
Pt1 0.125 0.125 0.625 (multiplicity 16)

***

Number 1: calculated formation energy -0.326 eV/atom, total magnetization 0.00 μB per atom, raw total energy -3.53 eV/atom. Number 2: calculated formation energy -0.848 eV/atom, total magnetization 0.00 μB per atom, raw total energy -5.99 eV/atom.